The following is a GGA+U calculation of MnCoO2 after structural relaxation, from Alexandria.

abc: 3.351 3.351 16.486
angles: 90.00 90.00 120.00
Fractional coordinates of all 12 atoms:
Mn 0.000 0.000 0.000
Mn 0.333 0.667 0.667
Mn 0.667 0.333 0.333
Co 0.000 0.000 0.500
Co 0.333 0.667 0.167
Co 0.667 0.333 0.833
O 0.000 0.000 0.379
O 0.000 0.000 0.872
O 0.333 0.667 0.046
O 0.333 0.667 0.539
O 0.667 0.333 0.205
O 0.667 0.333 0.712

Distance to the lowest polymorph of the same formula in meV/atom: 27